(1)
# HgTeF5

A relaxed HgTeF5 crystal (PBE, the Alexandria database).

Computed properties:
**Total DFT energy (no corrections)**: -50.7 eV/cell
**Uncorrected formation energy**: -1.792 eV per atom

Geometry as POSCAR:
```
HgTeF5
1.0
5.976 0.000 0.000
0.959 6.242 0.000
1.805 2.636 7.982
Hg Te F
2 2 10
direct
0.000 0.000 0.000
0.001 0.000 0.500
0.333 0.508 0.224
0.669 0.491 0.777
0.050 0.261 0.277
0.177 0.685 0.380
0.387 0.282 0.428
0.399 0.358 0.787
0.461 0.705 0.881
0.540 0.292 0.122
0.605 0.638 0.214
0.613 0.718 0.574
0.827 0.317 0.619
0.950 0.739 0.723
```



(2)
# La4TaCu

A relaxed La4TaCu crystal (PBE, the Alexandria database).

Computed properties:
**Total DFT energy (no corrections)**: -30.1 eV/cell
**Calculated formation energy**: 0.931 eV/atom

Geometry as POSCAR:
```
La4TaCu
1.0
0.000 4.451 4.451
4.451 0.000 4.451
4.451 4.451 0.000
La Ta Cu
4 1 1
direct
0.124 0.124 0.124
0.124 0.124 0.628
0.124 0.628 0.124
0.628 0.124 0.124
0.750 0.750 0.750
0.500 0.500 0.500
```



(3)
# Y4ZrIr5

A relaxed Y4ZrIr5 crystal (PBE, the Alexandria database).

Computed properties:
**Total DFT energy (no corrections)**: -86.6 eV/cell
**Calculated formation energy**: -0.789 eV/atom

Geometry as POSCAR:
```
Y4ZrIr5
1.0
3.358 0.000 0.000
0.000 3.358 0.000
0.000 0.000 17.625
Y Zr Ir
4 1 5
direct
0.000 0.000 0.102
0.000 0.000 0.304
0.000 0.000 0.696
0.000 0.000 0.898
0.000 0.000 0.500
0.500 0.500 0.000
0.500 0.500 0.204
0.500 0.500 0.412
0.500 0.500 0.588
0.500 0.500 0.796
```